First-principles (meta-GGA SCAN) data for a crystal of RbSb2Pb2 relaxed with PBEsol, as listed in Alexandria via LeMat-Bulk.

a = 5.5548 Å, b = 5.5548 Å, c = 11.7908 Å
α = 90.00°, β = 90.00°, γ = 90.00°
With the nearest neighbours (Å) after each atom.
Space group I4/mmm (No. 139)
One atom of each set of equivalent atoms:
Rb 0.0000 0.0000 0.0000 (multiplicity 2)  8 Sb 4.05, 10 Pb 4.25-4.28
Sb 0.0000 0.5000 0.2500 (multiplicity 4)  4 Pb 3.08
Pb 0.0000 0.0000 0.3633 (multiplicity 4)  4 Sb 3.08, 1 Pb 3.22

Properties
- Excess energy over the best structure of this formula in the dataset: 0.0 meV per atom
- DOS(E_F): 0.7121 states/eV per atom
- Total moment: 0.00 μB per formula unit